(1)
{"formula": "NaCuNiSe3", "functional": "PBE-GGA", "state": "relaxed", "energy_ev_per_atom": -3.867, "total_magnetization_mub_per_cell": 0.00, "lattice": [[1.788, -6.480, 0.000], [1.788, 6.480, 0.000], [0.000, 0.000, 9.716]], "species": ["Na", "Na", "Cu", "Cu", "Ni", "Ni", "Se", "Se", "Se", "Se", "Se", "Se"], "frac_coords": [[0.240, 0.760, 0.750], [0.760, 0.240, 0.250], [0.450, 0.550, 0.250], [0.550, 0.450, 0.750], [0.000, 0.000, 0.000], [0.000, 0.000, 0.500], [0.071, 0.929, 0.250], [0.373, 0.627, 0.029], [0.373, 0.627, 0.471], [0.627, 0.373, 0.529], [0.627, 0.373, 0.971], [0.929, 0.071, 0.750]]}

(2)
{"formula": "Ho3ZrSn2C2", "functional": "PBE-GGA", "state": "relaxed", "energy_ev_per_atom": -6.706, "total_magnetization_mub_per_cell": 0.00, "lattice": [[3.530, 0.000, 0.000], [-1.765, 3.057, 0.000], [0.000, 0.000, 15.549]], "species": ["Ho", "Ho", "Ho", "Zr", "Sn", "Sn", "C", "C"], "frac_coords": [[0.000, 0.000, 0.000], [0.000, 0.000, 0.337], [0.667, 0.333, 0.827], [0.667, 0.333, 0.502], [0.000, 0.000, 0.658], [0.667, 0.333, 0.170], [0.333, 0.667, 0.428], [0.333, 0.667, 0.913]]}